Here is BaCoCu3 at its PBEsol-relaxed geometry from the Alexandria database. Energies are from SCAN.

* final energy: -18.454 eV/atom
* energy relative to the lowest polymorph listed for this composition: 7.94 eV per formula unit

a = 5.189 Å, b = 5.189 Å, c = 5.189 Å
α = 90.00°, β = 90.00°, γ = 90.00°
Positions (direct):
Ba: 0.000 0.000 0.000
Co: 0.500 0.500 0.500
Cu: 0.000 0.000 0.500
Cu: 0.000 0.500 0.000
Cu: 0.500 0.000 0.000



Here is Ba2NdCoCu2O7 at its PBEsol-relaxed geometry from the Alexandria database. Energies are from SCAN.

* final energy: -18.582 eV/atom

a = 3.876 Å, b = 3.885 Å, c = 11.597 Å
α = 90.00°, β = 90.00°, γ = 90.00°
Positions (direct):
Ba: 0.000 0.000 0.185
Ba: 0.000 0.000 0.815
Nd: 0.000 0.000 0.500
Co: 0.500 0.500 0.000
Cu: 0.500 0.500 0.358
Cu: 0.500 0.500 0.642
O: 0.000 0.500 0.000
O: 0.000 0.500 0.370
O: 0.000 0.500 0.630
O: 0.500 0.000 0.368
O: 0.500 0.000 0.632
O: 0.500 0.500 0.151
O: 0.500 0.500 0.849



Here is Ba2SmCoCu2O7 at its PBEsol-relaxed geometry from the Alexandria database. Energies are from SCAN.

* final energy: -18.663 eV/atom

a = 3.864 Å, b = 3.868 Å, c = 11.575 Å
α = 90.00°, β = 90.00°, γ = 90.00°
Positions (direct):
Ba: 0.000 0.000 0.186
Ba: 0.000 0.000 0.814
Sm: 0.000 0.000 0.500
Co: 0.500 0.500 0.000
Cu: 0.500 0.500 0.361
Cu: 0.500 0.500 0.639
O: 0.000 0.500 0.000
O: 0.000 0.500 0.373
O: 0.000 0.500 0.627
O: 0.500 0.000 0.371
O: 0.500 0.000 0.629
O: 0.500 0.500 0.152
O: 0.500 0.500 0.848



The following mass density values (in g cm⁻³) correspond, in order, to the records above: 4.60; 6.82; 6.94.